(1)
Compound: Li8Pt
Source: Alexandria
Functional: GGA-PBE
Structure: optimized geometry Values from VASP.

```
&SYSTEM
  ibrav = 0, nat = 9, ntyp = 2
/
ATOMIC_SPECIES
Li 6.94 Li.upf
Pt 195.08 Pt.upf
CELL_PARAMETERS angstrom
2.540 -4.414 5.019
-4.956 2.519 -4.497
3.522 -3.372 -5.230
ATOMIC_POSITIONS crystal
Li 0.328 0.000 0.328
Li 0.000 0.672 0.672
Li 0.652 0.348 0.000
Li 0.000 0.328 0.328
Li 0.652 0.652 0.305
Li 0.672 0.000 0.672
Li 0.348 0.652 0.000
Li 0.348 0.348 0.695
Pt 0.000 0.000 0.000
```

Calculated formation energy: -0.151 eV/atom
Energy above the lowest structure with this stoichiometry: 34 meV per atom
DOS(E_F): 3.2 states/eV per cell
Symmetry: I4/mmm

***

(2)
Compound: Ca2Zn5Cu2Ag
Source: Alexandria
Functional: GGA-PBE
Structure: optimized geometry Values from VASP.

```
&SYSTEM
  ibrav = 0, nat = 20, ntyp = 4
/
ATOMIC_SPECIES
Zn 65.41 Zn.upf
Ca 40.08 Ca.upf
Cu 63.55 Cu.upf
Ag 107.87 Ag.upf
CELL_PARAMETERS angstrom
-0.990 -0.339 4.013
8.555 -3.402 1.822
3.144 8.713 1.511
ATOMIC_POSITIONS crystal
Zn 0.500 0.500 0.000
Zn 0.500 0.708 0.445
Zn 0.500 0.208 0.055
Zn 0.500 0.292 0.555
Zn 0.500 0.445 0.292
Zn 0.500 0.055 0.792
Zn 0.500 0.000 0.500
Zn 0.500 0.945 0.208
Zn 0.500 0.792 0.945
Zn 0.500 0.555 0.708
Ca 0.000 0.815 0.685
Ca 0.000 0.685 0.185
Ca 0.000 0.315 0.815
Ca 0.000 0.185 0.315
Cu 0.000 0.394 0.106
Cu 0.000 0.106 0.606
Cu 0.000 0.606 0.894
Cu 0.000 0.894 0.394
Ag 0.000 0.000 0.000
Ag 0.000 0.500 0.500
```

Calculated formation energy: -0.142 eV/atom
DOS(E_F): 8.3 states/eV per cell
Symmetry: P4/mbm

***

(3)
Compound: AcEuGaCu
Source: Alexandria
Functional: GGA-PBE
Structure: optimized geometry Values from VASP.

```
&SYSTEM
  ibrav = 0, nat = 4, ntyp = 4
/
ATOMIC_SPECIES
Eu 151.96 Eu.upf
Ga 69.72 Ga.upf
Cu 63.55 Cu.upf
Ac 227.00 Ac.upf
CELL_PARAMETERS angstrom
5.366 0.000 0.000
2.683 4.647 0.000
2.683 1.549 4.381
ATOMIC_POSITIONS crystal
Eu 0.750 0.750 0.750
Ga 0.000 0.000 0.000
Cu 0.500 0.500 0.500
Ac 0.250 0.250 0.250
```

Calculated formation energy: -0.275 eV/atom
DOS(E_F): 9.3 states/eV per cell
Symmetry: F-43m

***

(4)
Compound: BaTmCd2
Source: Alexandria
Functional: GGA-PBE
Structure: optimized geometry Values from VASP.

```
&SYSTEM
  ibrav = 0, nat = 4, ntyp = 3
/
ATOMIC_SPECIES
Ba 137.33 Ba.upf
Cd 112.41 Cd.upf
Tm 168.93 Tm.upf
CELL_PARAMETERS angstrom
3.863 0.000 0.000
0.000 5.657 0.000
0.000 0.000 5.657
ATOMIC_POSITIONS crystal
Ba 0.500 0.500 0.500
Cd 0.000 0.000 0.500
Cd 0.000 0.500 0.000
Tm 0.500 0.000 0.000
```

Calculated formation energy: -0.177 eV/atom
Energy above the lowest structure with this stoichiometry: 101 meV per atom
DOS(E_F): 1.9 states/eV per cell
Symmetry: P4/mmm

***

(5)
Compound: HfAlC
Source: Alexandria
Functional: GGA-PBE
Structure: optimized geometry Values from VASP.

```
&SYSTEM
  ibrav = 0, nat = 6, ntyp = 3
/
ATOMIC_SPECIES
C 12.01 C.upf
Hf 178.49 Hf.upf
Al 26.98 Al.upf
CELL_PARAMETERS angstrom
-3.141 0.465 -0.725
-0.791 -2.641 1.734
1.038 6.135 6.757
ATOMIC_POSITIONS crystal
C 0.813 0.813 0.626
C 0.187 0.187 0.374
Hf 0.313 0.313 0.625
Hf 0.687 0.687 0.375
Al 0.073 0.073 0.146
Al 0.927 0.927 0.854
```

Calculated formation energy: -0.463 eV/atom
Energy above the lowest structure with this stoichiometry: 73 meV per atom
DOS(E_F): 0.8 states/eV per cell
Symmetry: I4/mmm

***

(6)
Compound: LaAgHg
Source: Alexandria
Functional: GGA-PBE
Structure: optimized geometry Values from VASP.

```
&SYSTEM
  ibrav = 0, nat = 6, ntyp = 3
/
ATOMIC_SPECIES
La 138.91 La.upf
Ag 107.87 Ag.upf
Hg 200.59 Hg.upf
CELL_PARAMETERS angstrom
4.978 0.000 0.000
2.489 5.613 0.372
2.489 0.762 5.558
ATOMIC_POSITIONS crystal
La 0.504 0.246 0.747
La 0.496 0.754 0.253
Ag 0.837 0.167 0.158
Ag 0.163 0.833 0.842
Hg 0.171 0.334 0.323
Hg 0.829 0.666 0.677
```

Calculated formation energy: -0.403 eV/atom
DOS(E_F): 4.5 states/eV per cell
Symmetry: C2/m